No. 1
Entry from the Alexandria database: an optimized crystal structure of Pm2MgRhO6 (GGA-PBE).

Cell: 5.449 5.748 9.503 Å, 90.00 124.74 90.00°
Fractional coordinates of all 20 atoms:
Pm (0.233, 0.066, 0.251)
Pm (0.233, 0.434, 0.751)
Pm (0.767, 0.566, 0.249)
Pm (0.767, 0.934, 0.749)
Mg (0.500, 0.000, 0.000)
Mg (0.500, 0.500, 0.500)
Rh (0.000, 0.000, 0.500)
Rh (0.000, 0.500, 0.000)
O (0.138, 0.203, 0.946)
O (0.138, 0.297, 0.446)
O (0.249, 0.698, 0.947)
O (0.249, 0.802, 0.447)
O (0.350, 0.033, 0.747)
O (0.350, 0.467, 0.247)
O (0.650, 0.533, 0.753)
O (0.650, 0.967, 0.253)
O (0.751, 0.198, 0.553)
O (0.751, 0.302, 0.053)
O (0.862, 0.703, 0.554)
O (0.862, 0.797, 0.054)


No. 2
Entry from the Alexandria database: an optimized crystal structure of Pm2MgRuO6 (GGA-PBE).

Cell: 5.453 5.746 9.505 Å, 90.00 124.67 90.00°
Fractional coordinates of all 20 atoms:
Pm (0.232, 0.067, 0.251)
Pm (0.232, 0.433, 0.751)
Pm (0.768, 0.567, 0.249)
Pm (0.768, 0.933, 0.749)
Mg (0.500, 0.000, 0.000)
Mg (0.500, 0.500, 0.500)
Ru (0.000, 0.000, 0.500)
Ru (0.000, 0.500, 0.000)
O (0.137, 0.204, 0.945)
O (0.137, 0.296, 0.445)
O (0.250, 0.697, 0.949)
O (0.250, 0.803, 0.449)
O (0.350, 0.032, 0.747)
O (0.350, 0.468, 0.247)
O (0.650, 0.532, 0.753)
O (0.650, 0.968, 0.253)
O (0.750, 0.197, 0.551)
O (0.750, 0.303, 0.051)
O (0.863, 0.704, 0.555)
O (0.863, 0.796, 0.055)


No. 3
Entry from the Alexandria database: an optimized crystal structure of Pm2MgScO6 (GGA-PBE).

Cell: 5.529 5.815 9.631 Å, 90.00 124.34 90.00°
Fractional coordinates of all 20 atoms:
Pm (0.228, 0.064, 0.248)
Pm (0.228, 0.436, 0.748)
Pm (0.772, 0.564, 0.252)
Pm (0.772, 0.936, 0.752)
Mg (0.000, 0.000, 0.500)
Mg (0.000, 0.500, 0.000)
Sc (0.500, 0.000, 0.000)
Sc (0.500, 0.500, 0.500)
O (0.137, 0.198, 0.942)
O (0.137, 0.302, 0.442)
O (0.243, 0.700, 0.939)
O (0.243, 0.800, 0.439)
O (0.364, 0.044, 0.749)
O (0.364, 0.456, 0.249)
O (0.636, 0.544, 0.751)
O (0.636, 0.956, 0.251)
O (0.757, 0.200, 0.561)
O (0.757, 0.300, 0.061)
O (0.863, 0.698, 0.558)
O (0.863, 0.802, 0.058)


No. 4
Entry from the Alexandria database: an optimized crystal structure of Pm2MgScO (GGA-PBE).

Cell: 5.136 5.136 4.279 Å, 90.00 90.00 90.00°
Fractional coordinates of all 5 atoms:
Pm (0.000, 0.500, 0.000)
Pm (0.500, 0.000, 0.000)
Mg (0.000, 0.000, 0.500)
Sc (0.500, 0.500, 0.500)
O (0.500, 0.500, 0.000)


No. 5
Entry from the Alexandria database: an optimized crystal structure of Pm2MgSe2O2 (GGA-PBE).

Cell: 8.153 8.153 8.153 Å, 151.37 151.37 40.94°
Fractional coordinates of all 7 atoms:
Pm (0.112, 0.112, 0.000)
Pm (0.888, 0.888, 0.000)
Mg (0.500, 0.500, 0.000)
Se (0.320, 0.320, 0.000)
Se (0.680, 0.680, 0.000)
O (0.000, 0.500, 0.500)
O (0.500, 0.000, 0.500)


No. 6
Entry from the Alexandria database: an optimized crystal structure of PmMg3Se4O12 (GGA-PBE).

Cell: 6.747 6.747 6.747 Å, 105.48 105.48 105.48°
Fractional coordinates of all 20 atoms:
Pm (0.000, 0.000, 0.000)
Mg (0.000, 0.578, 0.422)
Mg (0.422, 0.000, 0.578)
Mg (0.578, 0.422, 0.000)
Se (0.105, 0.500, 0.895)
Se (0.500, 0.500, 0.500)
Se (0.500, 0.895, 0.105)
Se (0.895, 0.105, 0.500)
O (0.004, 0.248, 0.331)
O (0.056, 0.944, 0.500)
O (0.248, 0.331, 0.004)
O (0.328, 0.672, 0.500)
O (0.331, 0.004, 0.248)
O (0.500, 0.056, 0.944)
O (0.500, 0.328, 0.672)
O (0.669, 0.752, 0.996)
O (0.672, 0.500, 0.328)
O (0.752, 0.996, 0.669)
O (0.944, 0.500, 0.056)
O (0.996, 0.669, 0.752)


No. 7
Entry from the Alexandria database: an optimized crystal structure of PmMgSeO5 (GGA-PBE).

Cell: 6.094 6.094 8.171 Å, 110.10 110.10 91.48°
Fractional coordinates of all 16 atoms:
Pm (0.000, 0.000, 0.000)
Pm (0.000, 0.000, 0.500)
Mg (0.321, 0.679, 0.750)
Mg (0.679, 0.321, 0.250)
Se (0.355, 0.645, 0.250)
Se (0.645, 0.355, 0.750)
O (0.103, 0.897, 0.750)
O (0.272, 0.720, 0.459)
O (0.280, 0.728, 0.041)
O (0.324, 0.334, 0.159)
O (0.334, 0.324, 0.659)
O (0.666, 0.676, 0.341)
O (0.676, 0.666, 0.841)
O (0.720, 0.272, 0.959)
O (0.728, 0.280, 0.541)
O (0.897, 0.103, 0.250)


No. 8
Entry from the Alexandria database: an optimized crystal structure of Pm2SmMgO (GGA-PBE).

Cell: 4.986 4.986 4.940 Å, 90.00 90.00 90.00°
Fractional coordinates of all 5 atoms:
Pm (0.000, 0.500, 0.000)
Pm (0.500, 0.000, 0.000)
Sm (0.000, 0.000, 0.500)
Mg (0.500, 0.500, 0.500)
O (0.000, 0.000, 0.000)


No. 9
Entry from the Alexandria database: an optimized crystal structure of PmSm2MgO (GGA-PBE).

Cell: 4.948 4.948 4.988 Å, 90.00 90.00 90.00°
Fractional coordinates of all 5 atoms:
Pm (0.000, 0.000, 0.000)
Sm (0.000, 0.500, 0.500)
Sm (0.500, 0.000, 0.500)
Mg (0.500, 0.500, 0.000)
O (0.000, 0.000, 0.500)


No. 10
Entry from the Alexandria database: an optimized crystal structure of Pm2MgSnO6 (GGA-PBE).

Cell: 5.544 5.795 9.710 Å, 90.00 124.39 90.00°
Fractional coordinates of all 20 atoms:
Pm (0.230, 0.060, 0.249)
Pm (0.230, 0.440, 0.749)
Pm (0.770, 0.560, 0.251)
Pm (0.770, 0.940, 0.751)
Mg (0.000, 0.000, 0.500)
Mg (0.000, 0.500, 0.000)
Sn (0.500, 0.000, 0.000)
Sn (0.500, 0.500, 0.500)
O (0.141, 0.198, 0.942)
O (0.141, 0.302, 0.442)
O (0.243, 0.702, 0.940)
O (0.243, 0.798, 0.440)
O (0.364, 0.042, 0.752)
O (0.364, 0.458, 0.252)
O (0.636, 0.542, 0.748)
O (0.636, 0.958, 0.248)
O (0.757, 0.202, 0.560)
O (0.757, 0.298, 0.060)
O (0.859, 0.698, 0.558)
O (0.859, 0.802, 0.058)


No. 11
Entry from the Alexandria database: an optimized crystal structure of SrPmMgO4 (GGA-PBE).

Cell: 6.828 6.828 5.658 Å, 90.00 90.00 133.88°
Fractional coordinates of all 14 atoms:
Sr (0.105, 0.895, 0.750)
Sr (0.895, 0.105, 0.250)
Pm (0.385, 0.615, 0.750)
Pm (0.615, 0.385, 0.250)
Mg (0.258, 0.742, 0.250)
Mg (0.742, 0.258, 0.750)
O (0.000, 0.500, 0.000)
O (0.000, 0.500, 0.500)
O (0.086, 0.914, 0.250)
O (0.433, 0.567, 0.250)
O (0.500, 0.000, 0.000)
O (0.500, 0.000, 0.500)
O (0.567, 0.433, 0.750)
O (0.914, 0.086, 0.750)


no.,calculated total energy (eV per atom),formation energy without anion corrections (kJ/mol of atoms)
1,-7.31,-241
2,-7.57,-246
3,-7.76,-294
4,-5.69,-117
5,-6.45,-237
6,-5.55,-135
7,-6.18,-179
8,-5.34,-115
9,-5.34,-115
10,-7.26,-268
11,-6.59,-252